This record from Alexandria via LeMat-Bulk describes a relaxed NdAsRuF crystal. The functional is PBE.

Structure (POSCAR):
```
NdAsRuF
1.0
-3.4048 2.2632 0.6216
0.1439 -0.8920 4.0355
4.6557 6.6462 1.3030
Nd As Ru F
2 2 2 2
Direct
0.5000 0.0000 0.6878
0.0000 0.5000 0.3122
0.0000 0.5000 0.8380
0.5000 0.0000 0.1620
0.5000 0.5000 0.0000
0.0000 0.0000 0.0000
0.0000 0.0000 0.5000
0.5000 0.5000 0.5000
```

Computed properties:
ΔE_f (raw) (eV per atom): -1.873
N(E_F) (states/eV/atom): 0.634
Final energy (eV per atom): -7.014
Crystal system: tetragonal